ErTm2Hg4 | PBE | relaxed

Structure (POSCAR):
```
ErTm2Hg4
1.0
-2.7848 2.7848 7.5835
2.7848 -2.7848 7.5835
2.7848 2.7848 -7.5835
Er Tm Hg
1 2 4
Direct
0.0000 0.0000 0.0000 Er
0.3982 0.3982 0.0000 Tm
0.6018 0.6018 0.0000 Tm
0.0000 0.5000 0.5000 Hg
0.2000 0.2000 0.0000 Hg
0.5000 0.0000 0.5000 Hg
0.8000 0.8000 0.0000 Hg
```

The value obtained for the size of the total moment is 0.000 μB/atom. The density of states at the Fermi level comes out at 0.905 states/eV per atom. As for the formation energy from the elements: 0.065 eV per atom. As for the energy above the lowest structure with this stoichiometry: 0.393 eV/atom.

***

IrPtSe2Br | PBE | relaxed

Structure (POSCAR):
```
IrPtSe2Br
1.0
4.8333 0.0000 0.0000
0.0000 4.8333 0.0000
0.0000 0.0000 5.0799
Ir Pt Se Br
1 1 2 1
Direct
0.0000 0.0000 0.0000 Ir
0.5000 0.5000 0.5000 Pt
0.0000 0.5000 0.0000 Se
0.5000 0.0000 0.0000 Se
0.0000 0.0000 0.5000 Br
```

The value obtained for the size of the total moment is 0.087 μB/atom. The density of states at the Fermi level comes out at 1.831 states/eV per atom. The formation energy without anion corrections is 954.4 meV/atom. As for the energy above the lowest structure with this stoichiometry: 0.000 eV/atom.